(1)
# PaFeAg | the Open Quantum Materials Database | PBE | optimized geometry
# energy above the most stable polymorph in this dataset	1.70	eV/f.u.
# total magnetization	0.086	μB/cell
# E	-5.932	eV per atom
data_PaFeAg
_space_group_name_H-M_alt 'F -4 3 m'
_space_group_IT_number 216
_space_group_name_Hall 'F -4 2 3'
_cell_length_a 6.450
_cell_length_b 6.450
_cell_length_c 6.450
_cell_angle_alpha 90.00
_cell_angle_beta 90.00
_cell_angle_gamma 90.00
loop_
_atom_site_label
_atom_site_fract_x
_atom_site_fract_y
_atom_site_fract_z
_atom_site_occupancy
Pa1 0.000 0.000 0.000 1
Fe1 0.250 0.250 0.250 1
Ag1 0.250 0.250 0.750 1

---

(2)
# PaFeAg | the Open Quantum Materials Database | PBE | optimized geometry
# energy above the most stable polymorph in this dataset	0.00	eV/f.u.
# total magnetization	0.093	μB/cell
# E	-6.499	eV per atom
data_PaFeAg
_space_group_name_H-M_alt 'F -4 3 m'
_space_group_IT_number 216
_space_group_name_Hall 'F -4 2 3'
_cell_length_a 6.237
_cell_length_b 6.237
_cell_length_c 6.237
_cell_angle_alpha 90.00
_cell_angle_beta 90.00
_cell_angle_gamma 90.00
loop_
_atom_site_label
_atom_site_fract_x
_atom_site_fract_y
_atom_site_fract_z
_atom_site_occupancy
Pa1 0.000 0.000 0.000 1
Fe1 0.250 0.250 0.250 1
Ag1 0.000 0.000 0.500 1

---

(3)
# FeAg2Pb | the Open Quantum Materials Database | PBE | optimized geometry
# total magnetization	10.805	μB/cell
# E	-4.003	eV per atom
data_FeAg2Pb
_space_group_name_H-M_alt 'F -4 3 m'
_space_group_IT_number 216
_space_group_name_Hall 'F -4 2 3'
_cell_length_a 6.578
_cell_length_b 6.578
_cell_length_c 6.578
_cell_angle_alpha 90.00
_cell_angle_beta 90.00
_cell_angle_gamma 90.00
loop_
_atom_site_label
_atom_site_fract_x
_atom_site_fract_y
_atom_site_fract_z
_atom_site_occupancy
Fe1 0.000 0.000 0.000 1
Ag1 0.000 0.000 0.500 1
Ag2 0.250 0.250 0.250 1
Pb1 0.250 0.250 0.750 1

---

(4)
# FeAgPtPb | the Open Quantum Materials Database | PBE | optimized geometry
# energy above the most stable polymorph in this dataset	0.00	eV/f.u.
# total magnetization	12.305	μB/cell
# E	-4.965	eV per atom
data_FeAgPtPb
_space_group_name_H-M_alt 'F -4 3 m'
_space_group_IT_number 216
_space_group_name_Hall 'F -4 2 3'
_cell_length_a 6.604
_cell_length_b 6.604
_cell_length_c 6.604
_cell_angle_alpha 90.00
_cell_angle_beta 90.00
_cell_angle_gamma 90.00
loop_
_atom_site_label
_atom_site_fract_x
_atom_site_fract_y
_atom_site_fract_z
_atom_site_occupancy
Fe1 0.000 0.000 0.000 1
Ag1 0.000 0.000 0.500 1
Pt1 0.250 0.250 0.250 1
Pb1 0.250 0.250 0.750 1

---

(5)
# ScFeAgPb | the Open Quantum Materials Database | PBE | optimized geometry
# energy above the most stable polymorph in this dataset	0.08	eV/f.u.
# total magnetization	7.407	μB/cell
# E	-5.200	eV per atom
data_ScFeAgPb
_space_group_name_H-M_alt 'F -4 3 m'
_space_group_IT_number 216
_space_group_name_Hall 'F -4 2 3'
_cell_length_a 6.721
_cell_length_b 6.721
_cell_length_c 6.721
_cell_angle_alpha 90.00
_cell_angle_beta 90.00
_cell_angle_gamma 90.00
loop_
_atom_site_label
_atom_site_fract_x
_atom_site_fract_y
_atom_site_fract_z
_atom_site_occupancy
Sc1 0.000 0.000 0.000 1
Fe1 0.250 0.250 0.750 1
Ag1 0.250 0.250 0.250 1
Pb1 0.000 0.000 0.500 1

---

(6)
# ScFeAgPb | the Open Quantum Materials Database | PBE | optimized geometry
# energy above the most stable polymorph in this dataset	0.00	eV/f.u.
# total magnetization	10.136	μB/cell
# E	-5.222	eV per atom
data_ScFeAgPb
_space_group_name_H-M_alt 'F -4 3 m'
_space_group_IT_number 216
_space_group_name_Hall 'F -4 2 3'
_cell_length_a 6.756
_cell_length_b 6.756
_cell_length_c 6.756
_cell_angle_alpha 90.00
_cell_angle_beta 90.00
_cell_angle_gamma 90.00
loop_
_atom_site_label
_atom_site_fract_x
_atom_site_fract_y
_atom_site_fract_z
_atom_site_occupancy
Sc1 0.000 0.000 0.000 1
Fe1 0.000 0.000 0.500 1
Ag1 0.250 0.250 0.750 1
Pb1 0.250 0.250 0.250 1

---

(7)
# FeAgPbSe3 | the Open Quantum Materials Database | PBE | optimized geometry
# total magnetization	11.038	μB/cell
# E	-4.350	eV per atom
data_FeAgPbSe3
_space_group_name_H-M_alt 'C m c m'
_space_group_IT_number 63
_space_group_name_Hall '-C 2c 2'
_cell_length_a 3.794
_cell_length_b 13.625
_cell_length_c 10.826
_cell_angle_alpha 90.00
_cell_angle_beta 90.00
_cell_angle_gamma 90.00
loop_
_atom_site_label
_atom_site_fract_x
_atom_site_fract_y
_atom_site_fract_z
_atom_site_occupancy
Fe1 0.000 0.000 0.000 1
Ag1 0.000 0.370 0.250 1
Pb1 0.000 0.308 0.750 1
Se1 0.000 0.035 0.250 1
Se2 0.000 0.381 0.014 1

---

(8)
# TaFeAgPb | the Open Quantum Materials Database | PBE | optimized geometry
# energy above the most stable polymorph in this dataset	0.00	eV/f.u.
# total magnetization	2.502	μB/cell
# E	-6.065	eV per atom
data_TaFeAgPb
_space_group_name_H-M_alt 'F -4 3 m'
_space_group_IT_number 216
_space_group_name_Hall 'F -4 2 3'
_cell_length_a 6.525
_cell_length_b 6.525
_cell_length_c 6.525
_cell_angle_alpha 90.00
_cell_angle_beta 90.00
_cell_angle_gamma 90.00
loop_
_atom_site_label
_atom_site_fract_x
_atom_site_fract_y
_atom_site_fract_z
_atom_site_occupancy
Ta1 0.000 0.000 0.000 1
Fe1 0.250 0.250 0.750 1
Ag1 0.250 0.250 0.250 1
Pb1 0.000 0.000 0.500 1

---

(9)
# TaFeAgPb | the Open Quantum Materials Database | PBE | optimized geometry
# energy above the most stable polymorph in this dataset	0.41	eV/f.u.
# total magnetization	7.250	μB/cell
# E	-5.962	eV per atom
data_TaFeAgPb
_space_group_name_H-M_alt 'F -4 3 m'
_space_group_IT_number 216
_space_group_name_Hall 'F -4 2 3'
_cell_length_a 6.536
_cell_length_b 6.536
_cell_length_c 6.536
_cell_angle_alpha 90.00
_cell_angle_beta 90.00
_cell_angle_gamma 90.00
loop_
_atom_site_label
_atom_site_fract_x
_atom_site_fract_y
_atom_site_fract_z
_atom_site_occupancy
Ta1 0.000 0.000 0.000 1
Fe1 0.000 0.000 0.500 1
Ag1 0.250 0.250 0.750 1
Pb1 0.250 0.250 0.250 1

---

(10)
# FeTcAgPb | the Open Quantum Materials Database | PBE | optimized geometry
# energy above the most stable polymorph in this dataset	0.00	eV/f.u.
# total magnetization	12.496	μB/cell
# E	-5.622	eV per atom
data_FeTcAgPb
_space_group_name_H-M_alt 'F -4 3 m'
_space_group_IT_number 216
_space_group_name_Hall 'F -4 2 3'
_cell_length_a 6.490
_cell_length_b 6.490
_cell_length_c 6.490
_cell_angle_alpha 90.00
_cell_angle_beta 90.00
_cell_angle_gamma 90.00
loop_
_atom_site_label
_atom_site_fract_x
_atom_site_fract_y
_atom_site_fract_z
_atom_site_occupancy
Fe1 0.000 0.000 0.000 1
Tc1 0.000 0.000 0.500 1
Ag1 0.250 0.250 0.250 1
Pb1 0.250 0.250 0.750 1

---

(11)
# FeAgTe3Pb | the Open Quantum Materials Database | PBE | optimized geometry
# total magnetization	8.939	μB/cell
# E	-4.044	eV per atom
data_FeAgTe3Pb
_space_group_name_H-M_alt 'C m c m'
_space_group_IT_number 63
_space_group_name_Hall '-C 2c 2'
_cell_length_a 3.838
_cell_length_b 14.626
_cell_length_c 11.379
_cell_angle_alpha 90.00
_cell_angle_beta 90.00
_cell_angle_gamma 90.00
loop_
_atom_site_label
_atom_site_fract_x
_atom_site_fract_y
_atom_site_fract_z
_atom_site_occupancy
Fe1 0.000 0.000 0.000 1
Ag1 0.000 0.369 0.250 1
Te1 0.000 0.029 0.250 1
Te2 0.000 0.375 0.010 1
Pb1 0.000 0.294 0.750 1

---

(12)
# FeAgPbW | the Open Quantum Materials Database | PBE | optimized geometry
# energy above the most stable polymorph in this dataset	0.00	eV/f.u.
# total magnetization	2.717	μB/cell
# E	-5.990	eV per atom
data_FeAgPbW
_space_group_name_H-M_alt 'F -4 3 m'
_space_group_IT_number 216
_space_group_name_Hall 'F -4 2 3'
_cell_length_a 6.526
_cell_length_b 6.526
_cell_length_c 6.526
_cell_angle_alpha 90.00
_cell_angle_beta 90.00
_cell_angle_gamma 90.00
loop_
_atom_site_label
_atom_site_fract_x
_atom_site_fract_y
_atom_site_fract_z
_atom_site_occupancy
Fe1 0.000 0.000 0.000 1
Ag1 0.000 0.000 0.500 1
Pb1 0.250 0.250 0.750 1
W1 0.250 0.250 0.250 1

---

(13)
# FeAgPd2 | the Open Quantum Materials Database | PBE | optimized geometry
# total magnetization	14.158	μB/cell
# E	-5.261	eV per atom
data_FeAgPd2
_space_group_name_H-M_alt 'F -4 3 m'
_space_group_IT_number 216
_space_group_name_Hall 'F -4 2 3'
_cell_length_a 6.276
_cell_length_b 6.276
_cell_length_c 6.276
_cell_angle_alpha 90.00
_cell_angle_beta 90.00
_cell_angle_gamma 90.00
loop_
_atom_site_label
_atom_site_fract_x
_atom_site_fract_y
_atom_site_fract_z
_atom_site_occupancy
Fe1 0.000 0.000 0.000 1
Ag1 0.250 0.250 0.250 1
Pd1 0.000 0.000 0.500 1
Pd2 0.250 0.250 0.750 1

---

(14)
# FeAgPd | the Open Quantum Materials Database | PBE | optimized geometry
# energy above the most stable polymorph in this dataset	0.00	eV/f.u.
# total magnetization	13.735	μB/cell
# E	-5.005	eV per atom
data_FeAgPd
_space_group_name_H-M_alt 'F -4 3 m'
_space_group_IT_number 216
_space_group_name_Hall 'F -4 2 3'
_cell_length_a 5.871
_cell_length_b 5.871
_cell_length_c 5.871
_cell_angle_alpha 90.00
_cell_angle_beta 90.00
_cell_angle_gamma 90.00
loop_
_atom_site_label
_atom_site_fract_x
_atom_site_fract_y
_atom_site_fract_z
_atom_site_occupancy
Fe1 0.000 0.000 0.000 1
Ag1 0.250 0.250 0.750 1
Pd1 0.250 0.250 0.250 1